(1)
The following is a SCAN calculation of a crystal of Tl2Zn2Sb relaxed with PBEsol, from Alexandria via LeMat-Bulk.

Properties
Total magnetization = 0.00 μB/cell
Distance to the lowest polymorph of the same formula = 0.077 eV/atom
Space-group type = I4/mmm (139)

Cell and atoms, written as CIF:
```
data_Tl2Zn2Sb
_cell_length_a 3.4789
_cell_length_b 3.4789
_cell_length_c 10.3431
_cell_angle_alpha 99.68
_cell_angle_beta 99.68
_cell_angle_gamma 90.00
_space_group_name_H-M_alt 'P 1'
_space_group_IT_number 1
loop_
_space_group_symop_operation_xyz
'x,y,z'
loop_
_atom_site_label
_atom_site_type_symbol
_atom_site_fract_x
_atom_site_fract_y
_atom_site_fract_z
Sb1 Sb 0.0000 0.0000 0.0000
Tl1 Tl 0.3862 0.3862 0.7724
Tl2 Tl 0.6138 0.6138 0.2276
Zn1 Zn 0.2500 0.7500 0.5000
Zn2 Zn 0.7500 0.2500 0.5000
```

***

(2)
The following is a SCAN calculation of a crystal of Na2NbAg relaxed with PBEsol, from Alexandria via LeMat-Bulk.

Properties
Formation enthalpy at 0 K = 0.972 eV per atom
Total magnetization = 8.10 μB/cell
Distance to the lowest polymorph of the same formula = 0.051 eV/atom
Space-group type = I-42d (122)

Cell and atoms, written as CIF:
```
data_Na2NbAg
_cell_length_a 5.6668
_cell_length_b 6.4720
_cell_length_c 6.4720
_cell_angle_alpha 78.95
_cell_angle_beta 64.04
_cell_angle_gamma 64.04
_space_group_name_H-M_alt 'P 1'
_space_group_IT_number 1
loop_
_space_group_symop_operation_xyz
'x,y,z'
loop_
_atom_site_label
_atom_site_type_symbol
_atom_site_fract_x
_atom_site_fract_y
_atom_site_fract_z
Na1 Na 0.8750 0.0348 0.4652
Na2 Na 0.3750 0.9652 0.5348
Na3 Na 0.6598 0.4652 0.9652
Na4 Na 0.0902 0.5348 0.0348
Nb1 Nb 0.5000 0.0000 0.0000
Nb2 Nb 0.2500 0.5000 0.5000
Ag1 Ag 0.0000 0.0000 0.0000
Ag2 Ag 0.7500 0.5000 0.5000
```